Below is an optimized crystal structure of CsSICl2, with properties calculated at the PBEsol level.

a = 6.5542 Å, b = 5.9446 Å, c = 5.9446 Å
α = 90.00°, β = 90.00°, γ = 90.00°
Each line ends with the local moment (μB).
Element x y z (fractional)
1 I 0.5000 0.5000 0.5000  0.69
2 Cs 0.0000 0.0000 0.0000  0.15
3 S 0.5000 0.0000 0.0000  1.12
4 Cl 0.0000 0.0000 0.5000  0.33
5 Cl 0.0000 0.5000 0.0000  0.33

## Properties
- Offset from the most stable computed form: 960 meV per atom
- Crystal system: tetragonal
- SG: P4/mmm, No. 123
- Formation energy without anion corrections: 0.3891 eV per atom
- V: 46.32 Å³/atom

=====

Below is an optimized crystal structure of ZrHgRh, with properties calculated at the PBEsol level.

a = 3.4671 Å, b = 3.4671 Å, c = 5.1242 Å
α = 109.77°, β = 109.77°, γ = 90.00°
Element x y z (fractional)
1 Hg 0.0019 0.0019 0.0038
2 Rh 0.6796 0.6796 0.3592
3 Zr 0.3185 0.3185 0.6370

## Properties
- Crystal system: tetragonal
- SG: I4mm, No. 107
- Energy of formation from the pure elements: -50.14 kJ per mole of atoms
- V: 18.03 Å³/atom

=====

Below is an optimized crystal structure of YGeSeBr2, with properties calculated at the PBEsol level.

a = 5.3816 Å, b = 5.3816 Å, c = 5.4857 Å
α = 90.00°, β = 90.00°, γ = 90.00°
Each line ends with the local moment (μB).
Element x y z (fractional)
1 Br 0.0000 0.5000 0.0000  0.01
2 Br 0.5000 0.0000 0.0000  0.01
3 Ge 0.5000 0.5000 0.5000  0.43
4 Se 0.0000 0.0000 0.5000  -0.04
5 Y 0.0000 0.0000 0.0000  0.00

## Properties
- Crystal system: tetragonal
- SG: P4/mmm, No. 123
- Formation energy without anion corrections: -0.6347 eV per atom
- V: 31.77 Å³/atom

=====

Below is an optimized crystal structure of TaSiTc2, with properties calculated at the PBEsol level.

a = 2.9253 Å, b = 2.9253 Å, c = 8.1535 Å
α = 79.67°, β = 79.67°, γ = 60.00°
Element x y z (fractional)
1 Si 0.5000 0.5000 0.5000
2 Tc 0.2439 0.2439 0.2682
3 Tc 0.7561 0.7561 0.7318
4 Ta 0.0000 0.0000 0.0000

## Properties
- Crystal system: trigonal
- SG: R-3m, No. 166
- Formation energy without anion corrections: -0.0735 eV per atom
- V: 14.78 Å³/atom

=====

Below is an optimized crystal structure of Ba3Sr9Al4O16F4, with properties calculated at the PBEsol level.

a = 6.8326 Å, b = 6.8326 Å, c = 11.1723 Å
α = 90.00°, β = 90.00°, γ = 90.00°
Element x y z (fractional)
1 O 0.3625 0.8557 0.1031
2 O 0.8594 0.3605 0.6046
3 O 0.1443 0.6375 0.8969
4 O 0.8594 0.6395 0.3954
5 O 0.1406 0.6395 0.6046
6 O 0.1443 0.3625 0.1031
7 O 0.1406 0.3605 0.3954
8 O 0.8557 0.6375 0.1031
9 O 0.6395 0.1406 0.3954
10 O 0.8557 0.3625 0.8969
11 O 0.3625 0.1443 0.8969
12 O 0.3605 0.1406 0.6046
13 O 0.3605 0.8594 0.3954
14 O 0.6375 0.8557 0.8969
15 O 0.6395 0.8594 0.6046
16 O 0.6375 0.1443 0.1031
17 Sr 0.6675 0.8308 0.2488
18 Sr 0.1692 0.6675 0.2488
19 Sr 0.3325 0.1692 0.2488
20 Sr 0.3325 0.8308 0.7512
21 Sr 0.6675 0.1692 0.7512
22 Sr 0.8308 0.6675 0.7512
23 Sr 0.5000 0.5000 0.0000
24 Sr 0.8308 0.3325 0.2488
25 Sr 0.1692 0.3325 0.7512
26 F 0.0000 0.0000 0.2484
27 F 0.5000 0.5000 0.7561
28 F 0.5000 0.5000 0.2439
29 F 0.0000 0.0000 0.7516
30 Ba 0.5000 0.5000 0.5000
31 Ba 0.0000 0.0000 0.0000
32 Ba 0.0000 0.0000 0.5000
33 Al 0.0000 0.5000 0.5000
34 Al 0.5000 0.0000 0.0000
35 Al 0.5000 0.0000 0.5000
36 Al 0.0000 0.5000 0.0000

## Properties
- Crystal system: tetragonal
- SG: P422, No. 89
- Formation energy without anion corrections: -3.1095 eV per atom
- V: 14.49 Å³/atom

=====

Below is an optimized crystal structure of BaBeAs, with properties calculated at the PBEsol level.

a = 5.0776 Å, b = 5.0776 Å, c = 5.0776 Å
α = 60.00°, β = 60.00°, γ = 60.00°
Element x y z (fractional)
1 Be 0.0000 0.0000 0.0000
2 Ba 0.2500 0.2500 0.2500
3 As 0.5000 0.5000 0.5000

## Properties
- Offset from the most stable computed form: 399 meV per atom
- Crystal system: cubic
- SG: F-43m, No. 216
- Energy of formation from the pure elements: 55.37 kJ per mole of atoms
- V: 30.86 Å³/atom

=====

Below is an optimized crystal structure of Sc6Ga16Ru7, with properties calculated at the PBEsol level.

a = 8.6613 Å, b = 8.6613 Å, c = 8.6613 Å
α = 60.00°, β = 60.00°, γ = 60.00°
Element x y z (fractional)
1 Ga 0.6552 0.6552 0.0346
2 Ga 0.3722 0.8759 0.8759
3 Ga 0.6278 0.1241 0.1241
4 Ga 0.9654 0.3448 0.3448
5 Ga 0.6552 0.6552 0.6552
6 Ga 0.8759 0.8759 0.3722
7 Ga 0.0346 0.6552 0.6552
8 Ga 0.1241 0.1241 0.6278
9 Ga 0.3448 0.9654 0.3448
10 Ga 0.8759 0.8759 0.8759
11 Ga 0.1241 0.1241 0.1241
12 Ga 0.3448 0.3448 0.3448
13 Ga 0.3448 0.3448 0.9654
14 Ga 0.1241 0.6278 0.1241
15 Ga 0.6552 0.0346 0.6552
16 Ga 0.8759 0.3722 0.8759
17 Ru 0.0000 0.5000 0.0000
18 Ru 0.0000 0.5000 0.5000
19 Ru 0.0000 0.0000 0.5000
20 Ru 0.5000 0.0000 0.5000
21 Ru 0.0000 0.0000 0.0000
22 Ru 0.5000 0.5000 0.0000
23 Ru 0.5000 0.0000 0.0000
24 Sc 0.2771 0.7229 0.7229
25 Sc 0.7229 0.7229 0.2771
26 Sc 0.7229 0.2771 0.2771
27 Sc 0.7229 0.2771 0.7229
28 Sc 0.2771 0.2771 0.7229
29 Sc 0.2771 0.7229 0.2771

## Properties
- Crystal system: cubic
- SG: Fm-3m, No. 225
- Energy of formation from the pure elements: -52.12 kJ per mole of atoms
- V: 15.84 Å³/atom

=====

Below is an optimized crystal structure of K2HgAu2, with properties calculated at the PBEsol level.

a = 4.8507 Å, b = 7.4932 Å, c = 7.4932 Å
α = 90.00°, β = 90.00°, γ = 90.00°
Element x y z (fractional)
1 K 0.5000 0.3277 0.1723
2 K 0.5000 0.8277 0.3277
3 K 0.5000 0.1723 0.6723
4 K 0.5000 0.6723 0.8277
5 Au 0.0000 0.1298 0.3702
6 Au 0.0000 0.8702 0.6298
7 Au 0.0000 0.6298 0.1298
8 Au 0.0000 0.3702 0.8702
9 Hg 0.0000 0.0000 0.0000
10 Hg 0.0000 0.5000 0.5000

## Properties
- Crystal system: tetragonal
- SG: P4/mbm, No. 127
- Energy of formation from the pure elements: -16.89 kJ per mole of atoms
- V: 27.24 Å³/atom

=====

Below is an optimized crystal structure of TlGaOs3, with properties calculated at the PBEsol level.

a = 4.5164 Å, b = 4.5164 Å, c = 4.5164 Å
α = 90.00°, β = 90.00°, γ = 90.00°
Each line ends with the local moment (μB).
Element x y z (fractional)
1 Os 0.5000 0.0000 0.0000  0.58
2 Os 0.0000 0.5000 0.0000  0.58
3 Os 0.0000 0.0000 0.5000  0.58
4 Tl 0.5000 0.5000 0.5000  0.00
5 Ga 0.0000 0.0000 0.0000  -0.01

## Properties
- Offset from the most stable computed form: 0 meV per atom
- Crystal system: cubic
- SG: Pm-3m, No. 221
- Energy of formation from the pure elements: 183.45 kJ per mole of atoms
- V: 18.43 Å³/atom

=====

Below is an optimized crystal structure of HoFeSi, with properties calculated at the PBEsol level.

a = 3.9747 Å, b = 3.9747 Å, c = 6.3780 Å
α = 90.00°, β = 90.00°, γ = 90.00°
Element x y z (fractional)
1 Si 0.0000 0.5000 0.8183
2 Si 0.5000 0.0000 0.1817
3 Ho 0.5000 0.0000 0.6842
4 Ho 0.0000 0.5000 0.3158
5 Fe 0.5000 0.5000 0.0000
6 Fe 0.0000 0.0000 0.0000

## Properties
- Crystal system: tetragonal
- SG: P4/nmm, No. 129
- Formation energy without anion corrections: -0.7089 eV per atom
- V: 16.79 Å³/atom

=====

Below is an optimized crystal structure of NbSNCl6, with properties calculated at the PBEsol level.

a = 6.4258 Å, b = 11.9915 Å, c = 12.9297 Å
α = 81.20°, β = 77.66°, γ = 82.17°
Element x y z (fractional)
1 S 0.9108 0.7038 0.4836
2 S 0.5595 0.7768 0.8149
3 S 0.0892 0.2962 0.5164
4 S 0.4405 0.2232 0.1851
5 N 0.0782 0.3688 0.5985
6 N 0.6987 0.8678 0.7837
7 N 0.9218 0.6312 0.4015
8 N 0.3013 0.1322 0.2163
9 Cl 0.8403 0.4274 0.1552
10 Cl 0.1597 0.5726 0.8448
11 Cl 0.2066 0.4160 0.3149
12 Cl 0.0688 0.8490 0.9141
13 Cl 0.7934 0.5840 0.6851
14 Cl 0.5662 0.6547 0.2676
15 Cl 0.9014 0.3415 0.8286
16 Cl 0.9312 0.1510 0.0859
17 Cl 0.2963 0.5752 0.5681
18 Cl 0.1666 0.9083 0.3714
19 Cl 0.0986 0.6585 0.1714
20 Cl 0.3767 0.1859 0.4914
21 Cl 0.8334 0.0917 0.6286
22 Cl 0.1197 0.8429 0.6570
23 Cl 0.7037 0.4248 0.4319
24 Cl 0.5942 0.6744 0.9579
25 Cl 0.2300 0.0811 0.7632
26 Cl 0.7700 0.9189 0.2368
27 Cl 0.4338 0.3453 0.7324
28 Cl 0.6858 0.0646 0.8927
29 Cl 0.4058 0.3256 0.0421
30 Cl 0.8803 0.1571 0.3430
31 Cl 0.6233 0.8141 0.5086
32 Cl 0.3142 0.9354 0.1073
33 Nb 0.8731 0.5361 0.2810
34 Nb 0.0466 0.0240 0.2266
35 Nb 0.9534 0.9760 0.7734
36 Nb 0.1269 0.4639 0.7190

## Properties
- Crystal system: triclinic
- SG: P-1, No. 2
- Formation energy without anion corrections: -0.7288 eV per atom
- V: 26.56 Å³/atom

=====

Below is an optimized crystal structure of ReAg2Ru, with properties calculated at the PBEsol level.

a = 2.6993 Å, b = 2.6993 Å, c = 9.4991 Å
α = 90.00°, β = 90.00°, γ = 116.93°
Element x y z (fractional)
1 Ru 0.5000 0.5000 0.2633
2 Ag 0.5000 0.5000 0.7475
3 Ag 0.0000 0.0000 0.0048
4 Re 0.0000 0.0000 0.4845

## Properties
- Crystal system: orthorhombic
- SG: Cmm2, No. 35
- Energy of formation from the pure elements: 37.32 kJ per mole of atoms
- V: 15.43 Å³/atom

=====

> Which of these has the lowest V?

Ba3Sr9Al4O16F4

=====

Copy entry 8 word for word.
Below is an optimized crystal structure of K2HgAu2, with properties calculated at the PBEsol level.

a = 4.8507 Å, b = 7.4932 Å, c = 7.4932 Å
α = 90.00°, β = 90.00°, γ = 90.00°
Element x y z (fractional)
1 K 0.5000 0.3277 0.1723
2 K 0.5000 0.8277 0.3277
3 K 0.5000 0.1723 0.6723
4 K 0.5000 0.6723 0.8277
5 Au 0.0000 0.1298 0.3702
6 Au 0.0000 0.8702 0.6298
7 Au 0.0000 0.6298 0.1298
8 Au 0.0000 0.3702 0.8702
9 Hg 0.0000 0.0000 0.0000
10 Hg 0.0000 0.5000 0.5000

## Properties
- Crystal system: tetragonal
- SG: P4/mbm, No. 127
- Energy of formation from the pure elements: -16.89 kJ per mole of atoms
- V: 27.24 Å³/atom

=====

Repeat the tenth record exactly.
Below is an optimized crystal structure of HoFeSi, with properties calculated at the PBEsol level.

a = 3.9747 Å, b = 3.9747 Å, c = 6.3780 Å
α = 90.00°, β = 90.00°, γ = 90.00°
Element x y z (fractional)
1 Si 0.0000 0.5000 0.8183
2 Si 0.5000 0.0000 0.1817
3 Ho 0.5000 0.0000 0.6842
4 Ho 0.0000 0.5000 0.3158
5 Fe 0.5000 0.5000 0.0000
6 Fe 0.0000 0.0000 0.0000

## Properties
- Crystal system: tetragonal
- SG: P4/nmm, No. 129
- Formation energy without anion corrections: -0.7089 eV per atom
- V: 16.79 Å³/atom